1.
Computed, not measured: a relaxed GdLuHg2 crystal at the PBE level of DFT.

Cell lengths 5.2358, 5.2358, 5.2359 Å; angles 60.00, 60.00, 60.00 degrees
Site moments in Bohr magnetons follow the coordinates.
Fractional positions:
Gd 0.0000 0.0000 0.0000  7.10
Lu 0.5000 0.5000 0.5000  0.08
Hg 0.7500 0.7500 0.7501  0.00
Hg 0.2500 0.2500 0.2499  0.00

## Properties
ΔE to the lowest computed polymorph ... 11.5 meV per atom
Calculated density ... 12.00 Mg/m³

---

2.
Computed, not measured: a relaxed GdLuMgHg crystal at the PBE level of DFT.

Cell lengths 5.2628, 5.2628, 5.2628 Å; angles 60.00, 60.00, 60.00 degrees
Site moments in Bohr magnetons follow the coordinates.
Fractional positions:
Gd 0.7500 0.7500 0.7500  -7.20
Mg 0.0000 0.0000 0.0000  0.00
Lu 0.2500 0.2500 0.2500  -0.12
Hg 0.5000 0.5000 0.5000  -0.01

## Properties
Calculated density ... 8.98 Mg/m³

---

3.
Computed, not measured: a relaxed GdLuMnHg crystal at the PBE level of DFT.

Cell lengths 5.1194, 5.1194, 5.1194 Å; angles 60.00, 60.00, 60.00 degrees
Site moments in Bohr magnetons follow the coordinates.
Fractional positions:
Gd 0.0000 0.0000 0.0000  7.23
Lu 0.5000 0.5000 0.5000  0.25
Hg 0.7500 0.7500 0.7500  0.04
Mn 0.2500 0.2500 0.2500  -3.52

## Properties
Calculated density ... 10.29 Mg/m³

---

4.
Computed, not measured: a relaxed NdGdLuHg crystal at the PBE level of DFT.

Cell lengths 5.4546, 5.4546, 5.4546 Å; angles 60.00, 60.00, 60.00 degrees
Site moments in Bohr magnetons follow the coordinates.
Fractional positions:
Gd 0.7500 0.7500 0.7500  -7.22
Lu 0.0000 0.0000 0.0000  -0.14
Nd 0.2500 0.2500 0.2500  -0.10
Hg 0.5000 0.5000 0.5000  0.01

## Properties
Calculated density ... 9.80 Mg/m³

---

In order of appearance, formation energy = -46.2; -25.7; -8.5; -8.8 kJ per mole of atoms.